Entry 1:
VASP calculation (PBE-GGA) on a relaxed structure of ThSn2Rh2.

Geometry as CIF:
```
data_ThSn2Rh2
_chemical_formula_sum 'Th2 Sn4 Rh4'
_symmetry_space_group_name_H-M 'P 1'
_symmetry_Int_Tables_number 1
_cell_length_a 5.9914
_cell_length_b 5.9914
_cell_length_c 7.7399
_cell_angle_alpha 102.19
_cell_angle_beta 102.19
_cell_angle_gamma 117.01
loop_
_symmetry_equiv_pos_as_xyz
'x,y,z'
loop_
_atom_site_label
_atom_site_fract_x
_atom_site_fract_y
_atom_site_fract_z
Sn1 0.7269 0.9767 0.4537
Sn2 0.5233 0.7731 0.0463
Sn3 0.4767 0.2269 0.9537
Sn4 0.2731 0.0233 0.5463
Th1 0.8750 0.6250 0.7500
Th2 0.1250 0.3750 0.2500
Rh1 0.1318 0.3682 0.7500
Rh2 0.6180 0.8820 0.7500
Rh3 0.3820 0.1180 0.2500
Rh4 0.8682 0.6318 0.2500
```

---

Entry 2:
VASP calculation (PBE-GGA) on a relaxed structure of ThSn2Rh.

Geometry as CIF:
```
data_ThSn2Rh
_chemical_formula_sum 'Th4 Sn8 Rh4'
_symmetry_space_group_name_H-M 'P 1'
_symmetry_Int_Tables_number 1
_cell_length_a 4.6354
_cell_length_b 9.5673
_cell_length_c 10.1561
_cell_angle_alpha 118.10
_cell_angle_beta 103.19
_cell_angle_gamma 90.00
loop_
_symmetry_equiv_pos_as_xyz
'x,y,z'
loop_
_atom_site_label
_atom_site_fract_x
_atom_site_fract_y
_atom_site_fract_z
Rh1 0.1467 0.8939 0.2934
Rh2 0.8533 0.1061 0.7066
Rh3 0.8533 0.6005 0.7066
Rh4 0.1467 0.3995 0.2934
Th1 0.7066 0.7066 0.4133
Th2 0.2934 0.2934 0.5867
Th3 0.5000 0.2673 0.0000
Th4 0.5000 0.7327 0.0000
Sn1 0.6966 0.0368 0.3931
Sn2 0.0820 0.0820 0.1640
Sn3 0.9180 0.9180 0.8360
Sn4 0.3034 0.9632 0.6069
Sn5 0.9208 0.4208 0.8416
Sn6 0.6966 0.3563 0.3931
Sn7 0.3034 0.6437 0.6069
Sn8 0.0792 0.5792 0.1584
```

---

Entry 3:
VASP calculation (PBE-GGA) on a relaxed structure of ThSnRh.

Geometry as CIF:
```
data_ThSnRh
_chemical_formula_sum 'Th1 Sn1 Rh1'
_symmetry_space_group_name_H-M 'P 1'
_symmetry_Int_Tables_number 1
_cell_length_a 3.7070
_cell_length_b 4.6852
_cell_length_c 4.6852
_cell_angle_alpha 120.00
_cell_angle_beta 90.00
_cell_angle_gamma 90.00
loop_
_symmetry_equiv_pos_as_xyz
'x,y,z'
loop_
_atom_site_label
_atom_site_fract_x
_atom_site_fract_y
_atom_site_fract_z
Sn1 0.1664 0.0000 0.0000
Rh1 0.1670 0.3333 0.6667
Th1 0.6665 0.6667 0.3333
```

---

Entry 4:
VASP calculation (PBE-GGA) on a relaxed structure of ThSnRh6.

Geometry as CIF:
```
data_ThSnRh6
_chemical_formula_sum 'Th1 Sn1 Rh6'
_symmetry_space_group_name_H-M 'P 1'
_symmetry_Int_Tables_number 1
_cell_length_a 4.0514
_cell_length_b 5.7301
_cell_length_c 5.7301
_cell_angle_alpha 89.99
_cell_angle_beta 90.00
_cell_angle_gamma 90.00
loop_
_symmetry_equiv_pos_as_xyz
'x,y,z'
loop_
_atom_site_label
_atom_site_fract_x
_atom_site_fract_y
_atom_site_fract_z
Rh1 0.5000 0.0000 0.5000
Rh2 0.0000 0.7410 0.7410
Rh3 0.0000 0.7409 0.2591
Rh4 0.5000 0.5000 0.0000
Rh5 0.0000 0.2591 0.7409
Rh6 0.0000 0.2590 0.2590
Sn1 0.5000 0.5000 0.5000
Th1 0.5000 0.0000 0.0000
```

Calculated values
Excess energy over the best structure of this formula in the dataset (eV/atom): 0.000

---

Entry 5:
VASP calculation (PBE-GGA) on a relaxed structure of ThSnRh6.

Geometry as CIF:
```
data_ThSnRh6
_chemical_formula_sum 'Th1 Sn1 Rh6'
_symmetry_space_group_name_H-M 'P 1'
_symmetry_Int_Tables_number 1
_cell_length_a 5.3927
_cell_length_b 5.3927
_cell_length_c 5.3927
_cell_angle_alpha 83.74
_cell_angle_beta 83.74
_cell_angle_gamma 83.74
loop_
_symmetry_equiv_pos_as_xyz
'x,y,z'
loop_
_atom_site_label
_atom_site_fract_x
_atom_site_fract_y
_atom_site_fract_z
Rh1 0.8391 0.4683 0.8391
Rh2 0.1609 0.1609 0.5317
Rh3 0.4683 0.8391 0.8391
Rh4 0.5317 0.1609 0.1609
Rh5 0.8391 0.8391 0.4683
Rh6 0.1609 0.5317 0.1609
Th1 0.0000 0.0000 0.0000
Sn1 0.5000 0.5000 0.5000
```

Calculated values
Excess energy over the best structure of this formula in the dataset (eV/atom): 0.554

---

Entry 6:
VASP calculation (PBE-GGA) on a relaxed structure of ThSnRh3.

Geometry as CIF:
```
data_ThSnRh3
_chemical_formula_sum 'Th2 Sn2 Rh6'
_symmetry_space_group_name_H-M 'P 1'
_symmetry_Int_Tables_number 1
_cell_length_a 5.1740
_cell_length_b 5.3233
_cell_length_c 7.7499
_cell_angle_alpha 90.00
_cell_angle_beta 90.00
_cell_angle_gamma 90.00
loop_
_symmetry_equiv_pos_as_xyz
'x,y,z'
loop_
_atom_site_label
_atom_site_fract_x
_atom_site_fract_y
_atom_site_fract_z
Rh1 0.0000 0.5507 0.3289
Rh2 0.0000 0.9493 0.8289
Rh3 0.5000 0.0000 0.5000
Rh4 0.0000 0.4493 0.6711
Rh5 0.5000 0.5000 0.0000
Rh6 0.0000 0.0507 0.1711
Sn1 0.0000 0.5000 0.0000
Sn2 0.0000 0.0000 0.5000
Th1 0.5000 0.0000 0.0000
Th2 0.5000 0.5000 0.5000
```

Calculated values
Excess energy over the best structure of this formula in the dataset (eV/atom): 0.345

---

Entry 7:
VASP calculation (PBE-GGA) on a relaxed structure of Th4SnRh2.

Geometry as CIF:
```
data_Th4SnRh2
_chemical_formula_sum 'Th8 Sn2 Rh4'
_symmetry_space_group_name_H-M 'P 1'
_symmetry_Int_Tables_number 1
_cell_length_a 4.3289
_cell_length_b 6.9107
_cell_length_c 14.1917
_cell_angle_alpha 90.00
_cell_angle_beta 90.00
_cell_angle_gamma 108.25
loop_
_symmetry_equiv_pos_as_xyz
'x,y,z'
loop_
_atom_site_label
_atom_site_fract_x
_atom_site_fract_y
_atom_site_fract_z
Sn1 0.3891 0.7782 0.2500
Sn2 0.6109 0.2218 0.7500
Th1 0.7670 0.5339 0.1146
Th2 0.5000 0.0000 0.5000
Th3 0.7670 0.5339 0.3854
Th4 0.9272 0.8544 0.7500
Th5 0.5000 0.0000 0.0000
Th6 0.0728 0.1456 0.2500
Th7 0.2330 0.4661 0.6146
Th8 0.2330 0.4661 0.8854
Rh1 0.8714 0.7429 0.5569
Rh2 0.1286 0.2571 0.4431
Rh3 0.8714 0.7429 0.9431
Rh4 0.1286 0.2571 0.0569
```

---

Entry 8:
VASP calculation (PBE-GGA) on a relaxed structure of Th2SnRh.

Geometry as CIF:
```
data_Th2SnRh
_chemical_formula_sum 'Th2 Sn1 Rh1'
_symmetry_space_group_name_H-M 'P 1'
_symmetry_Int_Tables_number 1
_cell_length_a 3.9458
_cell_length_b 3.9458
_cell_length_c 10.1054
_cell_angle_alpha 78.74
_cell_angle_beta 78.74
_cell_angle_gamma 60.00
loop_
_symmetry_equiv_pos_as_xyz
'x,y,z'
loop_
_atom_site_label
_atom_site_fract_x
_atom_site_fract_y
_atom_site_fract_z
Rh1 0.5000 0.5000 0.5000
Th1 0.8899 0.8899 0.3303
Th2 0.1101 0.1101 0.6697
Sn1 0.0000 0.0000 0.0000
```

Calculated values
Excess energy over the best structure of this formula in the dataset (eV/atom): 0.396

---

Entry 9:
VASP calculation (PBE-GGA) on a relaxed structure of ThSn2Rh4.

Geometry as CIF:
```
data_ThSn2Rh4
_chemical_formula_sum 'Th2 Sn4 Rh8'
_symmetry_space_group_name_H-M 'P 1'
_symmetry_Int_Tables_number 1
_cell_length_a 8.7953
_cell_length_b 5.7332
_cell_length_c 5.9779
_cell_angle_alpha 118.65
_cell_angle_beta 90.00
_cell_angle_gamma 90.00
loop_
_symmetry_equiv_pos_as_xyz
'x,y,z'
loop_
_atom_site_label
_atom_site_fract_x
_atom_site_fract_y
_atom_site_fract_z
Rh1 0.7500 0.5001 0.5000
Rh2 0.2060 0.4994 0.0000
Rh3 0.2940 0.9994 0.0000
Rh4 0.2500 0.9999 0.5000
Rh5 0.7940 0.5006 0.0000
Rh6 0.7060 0.0006 0.0000
Rh7 0.2500 0.4999 0.5000
Rh8 0.7500 0.0001 0.5000
Th1 0.5000 0.5000 0.0000
Th2 0.0000 0.0000 0.0000
Sn1 0.0000 0.6835 0.3670
Sn2 0.0000 0.3165 0.6330
Sn3 0.5000 0.1835 0.3670
Sn4 0.5000 0.8165 0.6330
```

---

Entry 10:
VASP calculation (PBE-GGA) on a relaxed structure of Th3Sn13Rh4.

Geometry as CIF:
```
data_Th3Sn13Rh4
_chemical_formula_sum 'Th6 Sn26 Rh8'
_symmetry_space_group_name_H-M 'P 1'
_symmetry_Int_Tables_number 1
_cell_length_a 9.7911
_cell_length_b 9.7911
_cell_length_c 9.7911
_cell_angle_alpha 90.00
_cell_angle_beta 90.00
_cell_angle_gamma 90.00
loop_
_symmetry_equiv_pos_as_xyz
'x,y,z'
loop_
_atom_site_label
_atom_site_fract_x
_atom_site_fract_y
_atom_site_fract_z
Sn1 0.5000 0.5000 0.5000
Sn2 0.5000 0.6518 0.1922
Sn3 0.1922 0.5000 0.3482
Sn4 0.6518 0.8078 0.5000
Sn5 0.5000 0.3482 0.1922
Sn6 0.0000 0.6922 0.1518
Sn7 0.8078 0.5000 0.6518
Sn8 0.6922 0.1518 0.0000
Sn9 0.0000 0.3078 0.1518
Sn10 0.1922 0.5000 0.6518
Sn11 0.6518 0.1922 0.5000
Sn12 0.8482 0.0000 0.3078
Sn13 0.1518 0.0000 0.6922
Sn14 0.3078 0.1518 0.0000
Sn15 0.5000 0.3482 0.8078
Sn16 0.8078 0.5000 0.3482
Sn17 0.3078 0.8482 0.0000
Sn18 0.3482 0.1922 0.5000
Sn19 0.0000 0.6922 0.8482
Sn20 0.8482 0.0000 0.6922
Sn21 0.1518 0.0000 0.3078
Sn22 0.3482 0.8078 0.5000
Sn23 0.0000 0.3078 0.8482
Sn24 0.0000 0.0000 0.0000
Sn25 0.5000 0.6518 0.8078
Sn26 0.6922 0.8482 0.0000
Rh1 0.2500 0.2500 0.2500
Rh2 0.2500 0.7500 0.7500
Rh3 0.2500 0.7500 0.2500
Rh4 0.7500 0.7500 0.7500
Rh5 0.7500 0.2500 0.2500
Rh6 0.7500 0.7500 0.2500
Rh7 0.2500 0.2500 0.7500
Rh8 0.7500 0.2500 0.7500
Th1 0.5000 0.0000 0.7500
Th2 0.5000 0.0000 0.2500
Th3 0.2500 0.5000 0.0000
Th4 0.0000 0.2500 0.5000
Th5 0.0000 0.7500 0.5000
Th6 0.7500 0.5000 0.0000
```

---

no.,DFT total energy (eV/cell),ΔE_f (eV per formula unit)
1,-65.15,-2.44
2,-101.91,-2.70
3,-21.03,-2.26
4,-59.30,-3.77
5,-54.87,0.66
6,-70.18,-1.61
7,-105.71,-4.47
8,-27.09,-0.89
9,-97.26,-3.80
10,-227.91,-10.25